1.
The following is a DFT calculation (PBE-GGA) of LaNi2Rh after structural relaxation.

E above lowest polymorph: 0.0 kJ per mole of atoms
DFT total energy: -6.35 eV per atom
total magnetization: 0.14 μB/atom

Structure (POSCAR):
```
LaNi2Rh
1.0
2.558 1.477 8.735
-2.558 1.477 8.735
0.000 -2.954 8.735
La Ni Rh
3 6 3
Direct
0.000 0.000 0.000 La
0.138 0.138 0.138 La
0.862 0.862 0.862 La
0.081 0.582 0.582 Ni
0.418 0.418 0.919 Ni
0.418 0.919 0.418 Ni
0.582 0.081 0.582 Ni
0.582 0.582 0.081 Ni
0.919 0.418 0.418 Ni
0.332 0.332 0.332 Rh
0.500 0.500 0.500 Rh
0.668 0.668 0.668 Rh
```

2.
The following is a DFT calculation (PBE-GGA) of La8Ni2Rh after structural relaxation.

DFT total energy: -5.50 eV per atom
total magnetization: 0.00 μB/atom

Structure (POSCAR):
```
La8Ni2Rh
1.0
4.489 -6.054 0.000
4.489 6.054 0.000
-2.420 0.000 6.255
La Ni Rh
8 2 1
Direct
0.000 0.000 0.000 La
0.009 0.295 0.563 La
0.183 0.542 0.190 La
0.295 0.009 0.563 La
0.441 0.722 0.833 La
0.542 0.183 0.190 La
0.722 0.441 0.833 La
0.734 0.734 0.425 La
0.056 0.686 0.720 Ni
0.686 0.056 0.720 Ni
0.367 0.367 0.435 Rh
```

3.
The following is a DFT calculation (PBE-GGA) of LaNi2Rh after structural relaxation.

E above lowest polymorph: 26.2 kJ per mole of atoms
DFT total energy: -6.08 eV per atom
total magnetization: 0.00 μB/atom

Structure (POSCAR):
```
LaNi2Rh
1.0
4.082 0.000 0.000
0.000 4.099 0.000
0.000 0.000 7.803
La Ni Rh
2 4 2
Direct
0.000 0.000 0.000 La
0.500 0.500 0.500 La
0.000 0.000 0.498 Ni
0.000 0.500 0.750 Ni
0.500 0.000 0.250 Ni
0.500 0.500 0.998 Ni
0.000 0.500 0.249 Rh
0.500 0.000 0.749 Rh
```

4.
The following is a DFT calculation (PBE-GGA) of La4NiRh3 after structural relaxation.

DFT total energy: -6.60 eV per atom
total magnetization: 0.00 μB/atom

Structure (POSCAR):
```
La4NiRh3
1.0
4.002 0.000 0.000
0.000 4.216 0.000
0.000 0.000 11.285
La Ni Rh
4 1 3
Direct
0.000 0.000 0.000 La
0.000 0.500 0.274 La
0.500 0.000 0.500 La
0.500 0.500 0.774 La
0.000 0.000 0.715 Ni
0.000 0.500 0.559 Rh
0.500 0.000 0.229 Rh
0.500 0.500 0.041 Rh
```

The formation energy results, record by record, are as follows: -0.389 -0.199 -0.118 -0.660 eV/atom.